Entry 1:
DFT (PBE-GGA) results for a relaxed structure of PmPr2Ag.

a b c (Å): 3.748 3.748 8.915
angles (deg): 90.00 90.00 90.00
Positions (direct):
Pm 0.000 0.000 0.000
Pr 0.500 0.500 0.284
Pr 0.500 0.500 0.716
Ag 0.000 0.000 0.500

Summary:
The energy above the lowest structure with this stoichiometry comes out at 0.00 eV per formula unit. The formation energy from the elements comes out at -99 meV/atom. Its uncorrected energy is -17.6 eV for the cell shown.

Entry 2:
DFT (PBE-GGA) results for a relaxed structure of PmPr3Ag4.

a b c (Å): 3.765 3.765 15.119
angles (deg): 90.00 90.00 90.00
Positions (direct):
Pm 0.000 0.000 0.000
Pr 0.000 0.000 0.248
Pr 0.000 0.000 0.500
Pr 0.000 0.000 0.752
Ag 0.500 0.500 0.120
Ag 0.500 0.500 0.374
Ag 0.500 0.500 0.626
Ag 0.500 0.500 0.880

Summary:
The formation energy from the elements comes out at -252 meV/atom. Its uncorrected energy is -32.5 eV for the cell shown.

Entry 3:
DFT (PBE-GGA) results for a relaxed structure of PmPr2Ag.

a b c (Å): 7.869 7.869 7.869
angles (deg): 90.00 90.00 90.00
Positions (direct):
Pm 0.000 0.000 0.000
Pm 0.000 0.500 0.500
Pm 0.500 0.000 0.500
Pm 0.500 0.500 0.000
Pr 0.250 0.250 0.250
Pr 0.250 0.250 0.750
Pr 0.250 0.750 0.250
Pr 0.250 0.750 0.750
Pr 0.750 0.250 0.250
Pr 0.750 0.250 0.750
Pr 0.750 0.750 0.250
Pr 0.750 0.750 0.750
Ag 0.000 0.000 0.500
Ag 0.000 0.500 0.000
Ag 0.500 0.000 0.000
Ag 0.500 0.500 0.500

Summary:
The energy above the lowest structure with this stoichiometry comes out at 0.75 eV per formula unit. The formation energy from the elements comes out at 88 meV/atom. Its uncorrected energy is -67.2 eV for the cell shown.

no.,total magnetic moment (Bohr magnetons per cell),density of states at the Fermi level (states/eV/f.u.)
1,0.00,6.39
2,0.00,7.14
3,0.00,7.00